(1)
# Ho3GaP2Rh9

Crystalline Ho3GaP2Rh9 at its relaxed geometry (GGA-PBE, Alexandria).

Cell lengths 6.038, 6.038, 8.873 Å; angles 90.00, 90.00, 120.00 degrees
Positions (direct):
Ho 0.000 0.000 0.000
Ho 0.333 0.667 0.703
Ho 0.667 0.333 0.297
Ga 0.000 0.000 0.500
P 0.333 0.667 0.166
P 0.667 0.333 0.834
Rh 0.000 0.500 0.000
Rh 0.149 0.299 0.278
Rh 0.149 0.851 0.278
Rh 0.299 0.149 0.722
Rh 0.500 0.000 0.000
Rh 0.500 0.500 0.000
Rh 0.701 0.851 0.278
Rh 0.851 0.149 0.722
Rh 0.851 0.701 0.722

Output
Symmetry: P-3m1, No. 164
Volume, Å³/atom: 18.68
Total energy, eV/atom: -6.903

(2)
# HoGa2PRu2

Crystalline HoGa2PRu2 at its relaxed geometry (GGA-PBE, Alexandria).

Cell lengths 4.419, 4.419, 5.508 Å; angles 90.00, 90.00, 90.00 degrees
Positions (direct):
Ho 0.000 0.000 0.000
Ga 0.500 0.500 0.224
Ga 0.500 0.500 0.776
P 0.000 0.000 0.500
Ru 0.000 0.500 0.500
Ru 0.500 0.000 0.500

Output
Symmetry: P4/mmm, No. 123
Volume, Å³/atom: 17.93
Total energy, eV/atom: -6.210

(3)
# Ho8Ga3PS3

Crystalline Ho8Ga3PS3 at its relaxed geometry (GGA-PBE, Alexandria).

Cell lengths 7.712, 7.712, 8.321 Å; angles 117.67, 117.67, 59.95 degrees
Positions (direct):
Ho 0.243 0.243 0.728
Ho 0.244 0.744 0.732
Ho 0.256 0.256 0.268
Ho 0.256 0.756 0.268
Ho 0.744 0.244 0.732
Ho 0.744 0.744 0.732
Ho 0.756 0.256 0.268
Ho 0.757 0.757 0.272
Ga 0.000 0.500 0.000
Ga 0.500 0.000 0.000
Ga 0.500 0.500 0.000
P 0.500 0.500 0.500
S 0.000 0.000 0.500
S 0.000 0.500 0.500
S 0.500 0.000 0.500

Output
Symmetry: C2/m, No. 12
Volume, Å³/atom: 24.11
Raw formation energy, kJ/mol of atoms: -115.6
Total energy, eV/atom: -5.432